Entry 1:
# TaVTcRh

An optimized crystal structure of TaVTcRh (PBE, Alexandria).

a = 4.416 Å, b = 4.416 Å, c = 4.416 Å
α = 60.00°, β = 60.00°, γ = 60.00°
Positions (direct):
Ta: 0.000 0.000 0.000
V: 0.500 0.500 0.500
Tc: 0.750 0.750 0.750
Rh: 0.250 0.250 0.250

## Properties
formation energy = -0.293 eV/atom
energy = -9.965 eV/atom


Entry 2:
# TaTcRhW2

An optimized crystal structure of TaTcRhW2 (PBE, Alexandria).

a = 4.662 Å, b = 4.662 Å, c = 4.583 Å
α = 90.00°, β = 90.00°, γ = 90.00°
Positions (direct):
Ta: 0.000 0.000 0.000
Tc: 0.500 0.500 0.000
Rh: 0.500 0.500 0.500
W: 0.000 0.500 0.500
W: 0.500 0.000 0.500

## Properties
formation energy = 1.848 eV/atom
energy = -9.248 eV/atom


Entry 3:
# TaTe2Rh2

An optimized crystal structure of TaTe2Rh2 (PBE, Alexandria).

a = 7.517 Å, b = 7.517 Å, c = 3.334 Å
α = 90.00°, β = 90.00°, γ = 90.00°
Positions (direct):
Ta: 0.000 0.000 0.000
Ta: 0.500 0.500 0.000
Te: 0.159 0.341 0.000
Te: 0.341 0.841 0.000
Te: 0.659 0.159 0.000
Te: 0.841 0.659 0.000
Rh: 0.144 0.644 0.500
Rh: 0.356 0.144 0.500
Rh: 0.644 0.856 0.500
Rh: 0.856 0.356 0.500

## Properties
energy = -6.435 eV/atom
formation energy from raw total energies = 0.133 eV/atom


Entry 4:
# TaTe3Rh

An optimized crystal structure of TaTe3Rh (PBE, Alexandria).

a = 5.354 Å, b = 5.354 Å, c = 5.354 Å
α = 90.00°, β = 90.00°, γ = 90.00°
Positions (direct):
Ta: 0.000 0.000 0.000
Te: 0.000 0.000 0.500
Te: 0.000 0.500 0.000
Te: 0.500 0.000 0.000
Rh: 0.500 0.500 0.500

## Properties
energy = -4.883 eV/atom
formation energy from raw total energies = 0.842 eV/atom


Entry 5:
# TaTe2Rh2

An optimized crystal structure of TaTe2Rh2 (PBE, Alexandria).

a = 7.782 Å, b = 7.782 Å, c = 7.782 Å
α = 152.65°, β = 152.65°, γ = 39.06°
Positions (direct):
Ta: 0.000 0.000 0.000
Te: 0.389 0.389 0.000
Te: 0.611 0.611 0.000
Rh: 0.250 0.750 0.500
Rh: 0.750 0.250 0.500

## Properties
energy = -6.209 eV/atom
formation energy from raw total energies = 0.359 eV/atom


Entry 6:
# TaTe2Rh

An optimized crystal structure of TaTe2Rh (PBE, Alexandria).

a = 5.695 Å, b = 5.695 Å, c = 5.695 Å
α = 138.52°, β = 138.52°, γ = 60.11°
Positions (direct):
Ta: 0.000 0.000 0.000
Te: 0.250 0.750 0.500
Te: 0.500 0.500 0.000
Rh: 0.750 0.250 0.500

## Properties
energy = -6.066 eV/atom
formation energy from raw total energies = 0.306 eV/atom


Entry 7:
# TaTe2Rh

An optimized crystal structure of TaTe2Rh (PBE, Alexandria).

a = 7.665 Å, b = 7.665 Å, c = 7.665 Å
α = 151.36°, β = 149.69°, γ = 42.19°
Positions (direct):
Ta: 0.000 0.000 0.000
Te: 0.360 0.860 0.500
Te: 0.640 0.140 0.500
Rh: 0.500 0.500 0.000

## Properties
energy = -6.539 eV/atom
formation energy from raw total energies = -0.167 eV/atom


Entry 8:
# TaTe2Rh

An optimized crystal structure of TaTe2Rh (PBE, Alexandria).

a = 4.003 Å, b = 4.006 Å, c = 6.852 Å
α = 90.00°, β = 92.72°, γ = 90.00°
Positions (direct):
Ta: 0.000 0.000 0.000
Te: 0.056 0.500 0.726
Te: 0.505 0.000 0.279
Rh: 0.564 0.500 0.004

## Properties
energy = -6.649 eV/atom
formation energy from raw total energies = -0.278 eV/atom


Entry 9:
# TaTe2Rh

An optimized crystal structure of TaTe2Rh (PBE, Alexandria).

a = 7.390 Å, b = 7.390 Å, c = 7.390 Å
α = 32.11°, β = 32.11°, γ = 32.11°
Positions (direct):
Ta: 0.000 0.000 0.000
Te: 0.558 0.558 0.558
Te: 0.748 0.748 0.748
Rh: 0.282 0.282 0.282

## Properties
energy = -6.547 eV/atom
formation energy from raw total energies = -0.175 eV/atom


Entry 10:
# Ta2Te6Rh

An optimized crystal structure of Ta2Te6Rh (PBE, Alexandria).

a = 7.924 Å, b = 7.924 Å, c = 9.188 Å
α = 104.88°, β = 104.88°, γ = 26.32°
Positions (direct):
Ta: 0.185 0.185 0.380
Ta: 0.815 0.815 0.620
Te: 0.001 0.001 0.788
Te: 0.323 0.323 0.866
Te: 0.370 0.370 0.428
Te: 0.630 0.630 0.572
Te: 0.677 0.677 0.134
Te: 0.999 0.999 0.212
Rh: 0.500 0.500 0.000

## Properties
energy = -5.887 eV/atom
formation energy from raw total energies = -0.342 eV/atom


Entry 11:
# TaTe2Rh

An optimized crystal structure of TaTe2Rh (PBE, Alexandria).

a = 4.885 Å, b = 4.885 Å, c = 4.885 Å
α = 60.00°, β = 60.00°, γ = 60.00°
Positions (direct):
Ta: 0.000 0.000 0.000
Te: 0.250 0.250 0.250
Te: 0.500 0.500 0.500
Rh: 0.750 0.750 0.750

## Properties
energy = -5.870 eV/atom
formation energy from raw total energies = 0.502 eV/atom


Entry 12:
# TaTe2Rh

An optimized crystal structure of TaTe2Rh (PBE, Alexandria).

a = 3.172 Å, b = 3.172 Å, c = 9.243 Å
α = 90.00°, β = 90.00°, γ = 90.00°
Positions (direct):
Ta: 0.000 0.000 0.000
Te: 0.000 0.000 0.616
Te: 0.500 0.500 0.211
Rh: 0.500 0.500 0.831

## Properties
energy = -6.455 eV/atom
formation energy from raw total energies = -0.083 eV/atom


Entry 13:
# TaTe2Rh

An optimized crystal structure of TaTe2Rh (PBE, Alexandria).

a = 8.455 Å, b = 8.455 Å, c = 8.455 Å
α = 23.06°, β = 23.06°, γ = 23.06°
Positions (direct):
Ta: 0.000 0.000 0.000
Te: 0.249 0.249 0.249
Te: 0.751 0.751 0.751
Rh: 0.500 0.500 0.500

## Properties
energy = -6.296 eV/atom
formation energy from raw total energies = 0.076 eV/atom


Entry 14:
# TaTe3Rh

An optimized crystal structure of TaTe3Rh (PBE, Alexandria).

a = 5.095 Å, b = 5.095 Å, c = 5.095 Å
α = 90.00°, β = 90.00°, γ = 90.00°
Positions (direct):
Ta: 0.000 0.000 0.000
Te: 0.000 0.500 0.500
Te: 0.500 0.000 0.500
Te: 0.500 0.500 0.000
Rh: 0.500 0.500 0.500

## Properties
energy = -4.809 eV/atom
formation energy from raw total energies = 0.917 eV/atom


Entry 15:
# TaTe2Rh

An optimized crystal structure of TaTe2Rh (PBE, Alexandria).

a = 3.358 Å, b = 4.481 Å, c = 5.487 Å
α = 90.00°, β = 90.00°, γ = 90.00°
Positions (direct):
Ta: 0.000 0.000 0.000
Te: 0.000 0.500 0.500
Te: 0.500 0.500 0.000
Rh: 0.500 0.000 0.500

## Properties
energy = -5.926 eV/atom
formation energy from raw total energies = 0.445 eV/atom


Entry 16:
# TaTe2Rh

An optimized crystal structure of TaTe2Rh (PBE, Alexandria).

a = 7.712 Å, b = 7.712 Å, c = 7.712 Å
α = 152.19°, β = 151.16°, γ = 40.50°
Positions (direct):
Ta: 0.000 0.000 0.000
Te: 0.404 0.404 0.000
Te: 0.651 0.151 0.500
Rh: 0.127 0.627 0.500

## Properties
energy = -6.469 eV/atom
formation energy from raw total energies = -0.097 eV/atom


Entry 17:
# TaTe2Rh

An optimized crystal structure of TaTe2Rh (PBE, Alexandria).

a = 4.815 Å, b = 4.815 Å, c = 4.815 Å
α = 60.00°, β = 60.00°, γ = 60.00°
Positions (direct):
Ta: 0.000 0.000 0.000
Te: 0.250 0.250 0.250
Te: 0.750 0.750 0.750
Rh: 0.500 0.500 0.500

## Properties
energy = -6.242 eV/atom
formation energy from raw total energies = 0.130 eV/atom


Entry 18:
# TaTe2Rh

An optimized crystal structure of TaTe2Rh (PBE, Alexandria).

a = 4.514 Å, b = 4.514 Å, c = 7.094 Å
α = 101.14°, β = 101.14°, γ = 49.16°
Positions (direct):
Ta: 0.000 0.000 0.000
Te: 0.266 0.266 0.772
Te: 0.465 0.465 0.303
Rh: 0.714 0.714 0.094

## Properties
energy = -6.573 eV/atom
formation energy from raw total energies = -0.202 eV/atom


Entry 19:
# TaTe2Rh

An optimized crystal structure of TaTe2Rh (PBE, Alexandria).

a = 3.629 Å, b = 3.629 Å, c = 7.473 Å
α = 90.00°, β = 90.00°, γ = 90.00°
Positions (direct):
Ta: 0.000 0.000 0.000
Te: 0.000 0.000 0.648
Te: 0.500 0.500 0.191
Rh: 0.500 0.500 0.836

## Properties
energy = -6.569 eV/atom
formation energy from raw total energies = -0.197 eV/atom


Entry 20:
# TaTe2Rh

An optimized crystal structure of TaTe2Rh (PBE, Alexandria).

a = 9.194 Å, b = 9.194 Å, c = 9.194 Å
α = 21.67°, β = 21.67°, γ = 21.67°
Positions (direct):
Ta: 0.000 0.000 0.000
Te: 0.406 0.406 0.406
Te: 0.594 0.594 0.594
Rh: 0.500 0.500 0.500

## Properties
energy = -6.195 eV/atom
formation energy from raw total energies = 0.177 eV/atom


Entry 21:
# TaTe2Rh

An optimized crystal structure of TaTe2Rh (PBE, Alexandria).

a = 3.472 Å, b = 3.450 Å, c = 6.694 Å
α = 90.00°, β = 96.30°, γ = 90.00°
Positions (direct):
Ta: 0.000 0.000 0.000
Te: 0.430 0.500 0.753
Te: 0.570 0.500 0.247
Rh: 0.000 0.000 0.500

## Properties
energy = -6.309 eV/atom
formation energy from raw total energies = 0.063 eV/atom


Entry 22:
# TaTe2Rh

An optimized crystal structure of TaTe2Rh (PBE, Alexandria).

a = 7.376 Å, b = 7.376 Å, c = 7.376 Å
α = 130.71°, β = 130.71°, γ = 72.27°
Positions (direct):
Ta: 0.000 0.000 0.000
Ta: 0.750 0.250 0.500
Te: 0.139 0.625 0.014
Te: 0.375 0.389 0.514
Te: 0.611 0.125 0.986
Te: 0.875 0.861 0.486
Rh: 0.250 0.750 0.500
Rh: 0.500 0.500 0.000

## Properties
energy = -6.083 eV/atom
formation energy from raw total energies = 0.289 eV/atom


Entry 23:
# TaTe2Rh

An optimized crystal structure of TaTe2Rh (PBE, Alexandria).

a = 3.426 Å, b = 3.426 Å, c = 6.665 Å
α = 90.00°, β = 90.00°, γ = 90.00°
Positions (direct):
Ta: 0.000 0.000 0.000
Te: 0.500 0.500 0.249
Te: 0.500 0.500 0.751
Rh: 0.000 0.000 0.500

## Properties
energy = -6.300 eV/atom
formation energy from raw total energies = 0.072 eV/atom


Entry 24:
# TaTe2Rh

An optimized crystal structure of TaTe2Rh (PBE, Alexandria).

a = 4.678 Å, b = 4.678 Å, c = 5.686 Å
α = 98.55°, β = 98.55°, γ = 42.24°
Positions (direct):
Ta: 0.000 0.000 0.000
Te: 0.270 0.270 0.757
Te: 0.730 0.730 0.243
Rh: 0.500 0.500 0.500

## Properties
energy = -6.203 eV/atom
formation energy from raw total energies = 0.169 eV/atom


Entry 25:
# TaTeRh3

An optimized crystal structure of TaTeRh3 (PBE, Alexandria).

a = 4.730 Å, b = 4.730 Å, c = 4.730 Å
α = 90.00°, β = 90.00°, γ = 90.00°
Positions (direct):
Ta: 0.000 0.000 0.000
Te: 0.500 0.500 0.500
Rh: 0.000 0.500 0.500
Rh: 0.500 0.000 0.500
Rh: 0.500 0.500 0.000

## Properties
energy = -6.206 eV/atom
formation energy from raw total energies = 1.204 eV/atom


Entry 26:
# TaTeRh3

An optimized crystal structure of TaTeRh3 (PBE, Alexandria).

a = 4.763 Å, b = 4.763 Å, c = 4.763 Å
α = 90.00°, β = 90.00°, γ = 90.00°
Positions (direct):
Ta: 0.000 0.000 0.000
Te: 0.500 0.500 0.500
Rh: 0.000 0.000 0.500
Rh: 0.000 0.500 0.000
Rh: 0.500 0.000 0.000

## Properties
energy = -6.655 eV/atom
formation energy from raw total energies = 0.755 eV/atom


Entry 27:
# Ta2VTeRh

An optimized crystal structure of Ta2VTeRh (PBE, Alexandria).

a = 4.628 Å, b = 4.628 Å, c = 4.805 Å
α = 90.00°, β = 90.00°, γ = 90.00°
Positions (direct):
Ta: 0.000 0.500 0.000
Ta: 0.500 0.000 0.000
V: 0.000 0.000 0.000
Te: 0.000 0.000 0.500
Rh: 0.500 0.500 0.500

## Properties
energy = -7.464 eV/atom
formation energy from raw total energies = 1.199 eV/atom


Entry 28:
# TaV2TeRh

An optimized crystal structure of TaV2TeRh (PBE, Alexandria).

a = 4.715 Å, b = 4.715 Å, c = 5.030 Å
α = 90.00°, β = 90.00°, γ = 90.00°
Positions (direct):
Ta: 0.000 0.000 0.000
V: 0.000 0.500 0.500
V: 0.500 0.000 0.500
Te: 0.000 0.000 0.500
Rh: 0.500 0.500 0.000

## Properties
energy = -6.480 eV/atom
formation energy from raw total energies = 1.637 eV/atom


Entry 29:
# ThTaRh6

An optimized crystal structure of ThTaRh6 (PBE, Alexandria).

a = 4.017 Å, b = 4.017 Å, c = 8.047 Å
α = 90.00°, β = 90.00°, γ = 90.00°
Positions (direct):
Th: 0.000 0.000 0.000
Ta: 0.000 0.000 0.500
Rh: 0.000 0.500 0.271
Rh: 0.000 0.500 0.729
Rh: 0.500 0.000 0.271
Rh: 0.500 0.000 0.729
Rh: 0.500 0.500 0.000
Rh: 0.500 0.500 0.500

## Properties
formation energy = -0.650 eV/atom
energy = -8.573 eV/atom